Sc2NbRh2 | GGA-PBE | optimized geometry

The structure belongs to space group P4/mbm (No. 127); the cell edges are 7.701, 7.701 and 2.974 Å and the angles 90.00°, 90.00° and 90.00°. Symmetry generates all atoms from Sc at (0.141, 0.359, 0.000), Nb at (0.000, 0.000, 0.000) and Rh at (0.160, 0.660, 0.500).

The value obtained for the relative energy among the computed polymorphs is 0.74 eV per formula unit. The spin magnetization comes out at 2.9 μB per cell. As for the electronic total energy: -7.8850 eV/atom. As for the energy of formation from the pure elements: -0.398 eV per atom.